## Tm5As3 (PBE-GGA)

Data for a geometry-optimized Tm5As3 structure.

```
Tm5As3
1.0
8.365 0.000 0.000
-4.182 7.244 0.000
0.000 0.000 6.016
As Tm
6 10
direct
0.612 0.000 0.250
0.388 0.388 0.250
0.000 0.612 0.250
0.388 0.000 0.750
0.000 0.388 0.750
0.612 0.612 0.750
0.667 0.333 0.000
0.333 0.667 0.000
0.249 0.000 0.250
0.000 0.249 0.250
0.751 0.751 0.250
0.667 0.333 0.500
0.333 0.667 0.500
0.751 0.000 0.750
0.249 0.249 0.750
0.000 0.751 0.750
```

Values from the calculation:
- raw total energy (eV per formula unit) = -44.76